Entry 1:
First-principles (PBE) data for a geometry-optimized Pa2Ni3Sb2 structure, as listed in Alexandria.

Structure (POSCAR):
```
Pa2Ni3Sb2
1.0
7.1449 0.0000 0.0000
-2.3816 6.7363 0.0000
-2.3816 -3.3682 5.8338
Pa Ni Sb
4 6 4
Cartesian
-1.1837 -1.6739 2.8994 Pa
1.1980 1.6638 2.9169 Pa
3.5796 0.0101 0.0175 Pa
5.9326 3.3682 0.0000 Pa
3.7370 4.9359 0.2016 Ni
3.4079 0.1164 2.7154 Ni
5.7896 0.6093 1.4585 Ni
1.3554 -0.6093 4.3754 Ni
1.0263 -0.7257 1.6600 Ni
3.7370 2.4098 1.2569 Ni
-2.1853 -3.0905 5.3528 Sb
0.1964 4.4968 2.9169 Sb
-2.1853 1.9618 3.3979 Sb
1.7925 3.3682 0.0000 Sb
```

Properties
E_tot: -6.688 eV/atom

---

Entry 2:
First-principles (PBE) data for a geometry-optimized Pa2Ni2Sb3 structure, as listed in Alexandria.

Structure (POSCAR):
```
Pa2Ni2Sb3
1.0
-2.3438 -0.6604 4.0289
-3.0542 -1.8802 -2.0850
6.5174 -6.0625 0.0473
Pa Ni Sb
2 2 3
Cartesian
-0.4410 -3.0259 -0.7526 Pa
1.5604 -5.5772 2.7438 Pa
-2.1700 -2.2863 1.1132 Ni
3.2894 -6.3169 0.8781 Ni
0.0000 0.0000 0.0000 Sb
0.1103 -2.7926 2.3567 Sb
1.0091 -5.8106 -0.3655 Sb
```

Properties
E_tot: -6.459 eV/atom